Entry 1:
Compound: GaCo2TcN
Source: the Alexandria database
Functional: PBE
Structure: relaxed

Computed properties:
**Raw formation energy**: -0.1351 eV per atom
**Space group**: P4/mmm (123)

Geometry as POSCAR:
```
GaCo2TcN
1.0
3.772 0.000 0.000
0.000 3.772 0.000
0.000 0.000 4.021
Ga Co Tc N
1 2 1 1
Direct
0.000 0.000 0.000
0.000 0.500 0.500
0.500 0.000 0.500
0.500 0.500 0.000
0.500 0.500 0.500
```

=====

Entry 2:
Compound: CeNdSmHg
Source: the Alexandria database
Functional: PBE
Structure: relaxed

Computed properties:
**Space group**: F-43m (216)
**E**: -15.76 eV per formula unit

Geometry as POSCAR:
```
CeNdSmHg
1.0
0.000 3.844 3.844
3.844 0.000 3.844
3.844 3.844 0.000
Ce Nd Sm Hg
1 1 1 1
Direct
0.000 0.000 0.000
0.750 0.750 0.750
0.250 0.250 0.250
0.500 0.500 0.500
```

=====

Entry 3:
Compound: CsCdBr
Source: the Alexandria database
Functional: PBE
Structure: relaxed

Computed properties:
**Raw formation energy**: -0.8432 eV per atom
**Space group**: Amm2 (38)

Geometry as POSCAR:
```
CsCdBr
1.0
12.333 0.000 0.000
0.000 2.827 5.471
0.000 -2.827 5.471
Cs Cd Br
2 2 2
Direct
0.238 0.000 0.000
0.762 0.000 0.000
0.000 0.689 0.689
0.500 0.454 0.454
0.231 0.317 0.317
0.769 0.317 0.317
```

=====

Entry 4:
Compound: BeCu5Pd6
Source: the Alexandria database
Functional: PBE
Structure: relaxed

Computed properties:
**Space group**: Cmmm (65)
**E**: -57.84 eV per formula unit

Geometry as POSCAR:
```
BeCu5Pd6
1.0
2.117 -6.346 0.000
2.117 6.346 0.000
0.000 0.000 5.981
Be Cu Pd
1 5 6
Direct
0.000 0.000 0.000
0.000 0.000 0.500
0.327 0.673 0.000
0.332 0.668 0.500
0.668 0.332 0.500
0.673 0.327 0.000
0.159 0.841 0.244
0.159 0.841 0.756
0.500 0.500 0.236
0.500 0.500 0.764
0.841 0.159 0.244
0.841 0.159 0.756
```

=====

Entry 5:
Compound: Ca2Ga7Cu
Source: the Alexandria database
Functional: PBE
Structure: relaxed

Computed properties:
**Space group**: P-4m2 (115)
**E**: -32.98 eV per formula unit

Geometry as POSCAR:
```
Ca2Ga7Cu
1.0
4.237 0.000 0.000
0.000 4.237 0.000
0.000 0.000 10.959
Ca Ga Cu
2 7 1
Direct
0.000 0.500 0.242
0.500 0.000 0.758
0.000 0.000 0.000
0.000 0.000 0.500
0.000 0.500 0.642
0.000 0.500 0.869
0.500 0.000 0.131
0.500 0.000 0.358
0.500 0.500 0.500
0.500 0.500 0.000
```

=====

Entry 6:
Compound: Cs4Np3ScSe8
Source: the Alexandria database
Functional: PBE
Structure: relaxed

Computed properties:
**Raw formation energy**: -1.3028 eV per atom
**Space group**: R-3m (166)

Geometry as POSCAR:
```
Cs4Np3ScSe8
1.0
4.266 2.463 8.350
-4.266 2.463 8.350
0.000 -4.926 8.350
Cs Np Sc Se
4 3 1 8
Direct
0.000 0.000 0.000
0.000 0.500 0.500
0.500 0.000 0.500
0.500 0.500 0.000
0.000 0.000 0.500
0.000 0.500 0.000
0.500 0.000 0.000
0.500 0.500 0.500
0.229 0.229 0.229
0.240 0.721 0.721
0.279 0.279 0.760
0.279 0.760 0.279
0.721 0.240 0.721
0.721 0.721 0.240
0.760 0.279 0.279
0.771 0.771 0.771
```

=====

Entry 7:
Compound: UMnFeGe2
Source: the Alexandria database
Functional: PBE
Structure: relaxed

Computed properties:
**Space group**: I-4m2 (119)
**E**: -39.22 eV per formula unit

Geometry as POSCAR:
```
UMnFeGe2
1.0
-2.006 2.006 5.023
2.006 -2.006 5.023
2.006 2.006 -5.023
U Mn Fe Ge
1 1 1 2
Direct
0.000 0.000 0.000
0.250 0.750 0.500
0.750 0.250 0.500
0.376 0.376 0.000
0.624 0.624 0.000
```

=====

Entry 8:
Compound: Ac7Rh5
Source: the Alexandria database
Functional: PBE
Structure: relaxed

Computed properties:
**Space group**: C2/m (12)
**E**: -73.11 eV per formula unit

Geometry as POSCAR:
```
Ac7Rh5
1.0
7.051 -2.112 0.000
7.051 2.112 0.000
-3.458 0.000 12.471
Ac Rh
7 5
Direct
0.000 0.000 0.000
0.156 0.156 0.553
0.239 0.239 0.859
0.461 0.461 0.715
0.539 0.539 0.285
0.761 0.761 0.141
0.844 0.844 0.447
0.195 0.195 0.312
0.386 0.386 0.075
0.500 0.500 0.500
0.614 0.614 0.925
0.805 0.805 0.688
```

=====

Entry 9:
Compound: LiTaW2
Source: the Alexandria database
Functional: PBE
Structure: relaxed

Computed properties:
**Space group**: I-4m2 (119)
**Energy relative to the lowest polymorph listed for this composition**: 0.086 eV per atom

Geometry as POSCAR:
```
LiTaW2
1.0
-2.228 2.228 3.208
2.228 -2.228 3.208
2.228 2.228 -3.208
Li Ta W
1 1 2
Direct
0.000 0.000 0.000
0.250 0.750 0.500
0.500 0.500 0.000
0.750 0.250 0.500
```

=====

Entry 10:
Compound: CsSr3Cu4I12
Source: the Alexandria database
Functional: PBE
Structure: relaxed

Computed properties:
**Raw formation energy**: -0.9247 eV per atom
**Space group**: R32 (155)

Geometry as POSCAR:
```
CsSr3Cu4I12
1.0
8.131 4.695 4.269
-8.131 4.695 4.269
0.000 -9.389 4.269
Cs Sr Cu I
1 3 4 12
Direct
0.000 0.000 0.000
0.000 0.556 0.444
0.444 0.000 0.556
0.556 0.444 0.000
0.066 0.500 0.934
0.500 0.500 0.500
0.500 0.934 0.066
0.934 0.066 0.500
0.020 0.645 0.777
0.094 0.906 0.500
0.223 0.355 0.980
0.345 0.655 0.500
0.355 0.980 0.223
0.500 0.094 0.906
0.500 0.345 0.655
0.645 0.777 0.020
0.655 0.500 0.345
0.777 0.020 0.645
0.906 0.500 0.094
0.980 0.223 0.355
```

=====

Entry 11:
Compound: ThFe4B4
Source: the Alexandria database
Functional: PBE
Structure: relaxed

Computed properties:
**Space group**: P4_2/n (86)
**Energy relative to the lowest polymorph listed for this composition**: 0.000 eV per atom

Geometry as POSCAR:
```
ThFe4B4
1.0
7.075 0.000 0.000
0.000 7.075 0.000
0.000 0.000 3.801
Th Fe B
2 8 8
Direct
0.250 0.250 0.250
0.750 0.750 0.750
0.117 0.638 0.148
0.138 0.883 0.648
0.362 0.617 0.648
0.383 0.862 0.148
0.617 0.138 0.852
0.638 0.383 0.352
0.862 0.117 0.352
0.883 0.362 0.852
0.044 0.914 0.147
0.086 0.544 0.647
0.414 0.956 0.647
0.456 0.586 0.147
0.544 0.414 0.853
0.586 0.044 0.353
0.914 0.456 0.353
0.956 0.086 0.853
```

=====

Entry 12:
Compound: HfScPCl2
Source: the Alexandria database
Functional: PBE
Structure: relaxed

Computed properties:
**Raw formation energy**: -0.3931 eV per atom
**Space group**: P4/mmm (123)
**Energy relative to the lowest polymorph listed for this composition**: 0.203 eV per atom

Geometry as POSCAR:
```
HfScPCl2
1.0
4.675 0.000 0.000
0.000 4.675 0.000
0.000 0.000 5.458
Hf Sc P Cl
1 1 1 2
Direct
0.000 0.000 0.000
0.500 0.500 0.500
0.500 0.500 0.000
0.000 0.500 0.500
0.500 0.000 0.500
```

=====

Number 1: calculated volume 11.44 Å³/atom. Number 2: calculated volume 28.40 Å³/atom. Number 3: calculated volume 63.59 Å³/atom. Number 4: calculated volume 13.39 Å³/atom. Number 5: calculated volume 19.67 Å³/atom. Number 6: calculated volume 32.90 Å³/atom. Number 7: calculated volume 16.17 Å³/atom. Number 8: calculated volume 30.96 Å³/atom. Number 9: calculated volume 15.93 Å³/atom. Number 10: calculated volume 48.89 Å³/atom. Number 11: calculated volume 10.57 Å³/atom. Number 12: calculated volume 23.86 Å³/atom.